No. 1
Compound: Pr15Nd2Mg2
Source: Alexandria
Functional: PBE
Structure: relaxed

a b c (Å): 11.5046 11.5046 17.9085
angles (deg): 90.00 90.00 120.00
Space group R-3m (No. 166, hexagonal axes)
Symmetry-distinct sites (fractional):
Pr (0.0000, 0.2952, 0.0000) (multiplicity 18)
Pr (0.0000, 0.5000, 0.5000) (multiplicity 9)
Pr (0.0163, 0.5082, 0.1409) (multiplicity 18)
Nd (0.0000, 0.0000, 0.3150) (multiplicity 6)
Mg (0.0000, 0.0000, 0.0929) (multiplicity 6)

E = -4.243 eV/atom
V = 2053 Å³ per cell



No. 2
Compound: Pr12NdMg3
Source: Alexandria
Functional: PBE
Structure: relaxed

a b c (Å): 5.111 5.111 20.589
angles (deg): 90.00 90.00 90.00
Space group P4/mmm (No. 123)
Symmetry-distinct sites (fractional):
Pr (0.000, 0.000, 0.000) (multiplicity 1)
Pr (0.000, 0.000, 0.246) (multiplicity 2)
Pr (0.000, 0.000, 0.500) (multiplicity 1)
Pr (0.000, 0.500, 0.123) (multiplicity 4)
Pr (0.000, 0.500, 0.370) (multiplicity 4)
Nd (0.500, 0.500, 0.500) (multiplicity 1)
Mg (0.500, 0.500, 0.000) (multiplicity 1)
Mg (0.500, 0.500, 0.245) (multiplicity 2)

E = -4.184 eV/atom
V = 538 Å³ per cell



No. 3
Compound: PrNd12Mg3
Source: Alexandria
Functional: PBE
Structure: relaxed

a b c (Å): 5.081 5.081 20.440
angles (deg): 90.00 90.00 90.00
Space group P4/mmm (No. 123)
Symmetry-distinct sites (fractional):
Pr (0.000, 0.000, 0.000) (multiplicity 1)
Nd (0.000, 0.500, 0.130) (multiplicity 4)
Nd (0.000, 0.500, 0.377) (multiplicity 4)
Nd (0.500, 0.500, 0.000) (multiplicity 1)
Nd (0.500, 0.500, 0.255) (multiplicity 2)
Nd (0.500, 0.500, 0.500) (multiplicity 1)
Mg (0.000, 0.000, 0.255) (multiplicity 2)
Mg (0.000, 0.000, 0.500) (multiplicity 1)

E = -4.169 eV/atom
V = 528 Å³ per cell



No. 4
Compound: Pr3Nd4Mg
Source: Alexandria
Functional: PBE
Structure: relaxed

a b c (Å): 3.719 3.719 19.851
angles (deg): 90.00 90.00 90.00
Space group P4/mmm (No. 123)
Symmetry-distinct sites (fractional):
Pr (0.000, 0.000, 0.000) (multiplicity 1)
Pr (0.000, 0.000, 0.263) (multiplicity 2)
Nd (0.500, 0.500, 0.131) (multiplicity 2)
Nd (0.500, 0.500, 0.392) (multiplicity 2)
Mg (0.000, 0.000, 0.500) (multiplicity 1)

V = 275 Å³ per cell
Distance to the lowest polymorph of the same formula = 0.000 eV per atom



No. 5
Compound: Pr3Nd8Mg
Source: Alexandria
Functional: PBE
Structure: relaxed

a b c (Å): 3.701 9.631 12.606
angles (deg): 109.10 90.06 101.00
Space group P1 (No. 1)
Symmetry-distinct sites (fractional):
Pr (0.000, 0.000, 0.000) (multiplicity 1)
Pr (0.115, 0.227, 0.511) (multiplicity 1)
Pr (0.387, 0.776, 0.755) (multiplicity 1)
Nd (0.053, 0.108, 0.751) (multiplicity 1)
Nd (0.273, 0.548, 0.254) (multiplicity 1)
Nd (0.337, 0.673, 0.016) (multiplicity 1)
Nd (0.445, 0.889, 0.491) (multiplicity 1)
Nd (0.600, 0.200, 0.258) (multiplicity 1)
Nd (0.665, 0.331, 0.007) (multiplicity 1)
Nd (0.724, 0.449, 0.762) (multiplicity 1)
Nd (0.779, 0.557, 0.500) (multiplicity 1)
Mg (0.940, 0.881, 0.255) (multiplicity 1)

E = -4.500 eV/atom
V = 416 Å³ per cell



No. 6
Compound: Pr3NdMg
Source: Alexandria
Functional: PBE
Structure: relaxed

a b c (Å): 3.839 19.270 9.789
angles (deg): 90.00 90.00 90.00
Space group Cmcm (No. 63)
Symmetry-distinct sites (fractional):
Pr (0.000, 0.098, 0.005) (multiplicity 8)
Pr (0.000, 0.302, 0.250) (multiplicity 4)
Nd (0.000, 0.491, 0.250) (multiplicity 4)
Mg (0.000, 0.334, 0.750) (multiplicity 4)

V = 724 Å³ per cell
Distance to the lowest polymorph of the same formula = 0.188 eV per atom



No. 7
Compound: Pr4NdMg2
Source: Alexandria
Functional: PBE
Structure: relaxed

a b c (Å): 5.785 5.785 16.250
angles (deg): 90.00 90.00 90.00
Space group I4/mmm (No. 139)
Symmetry-distinct sites (fractional):
Pr (0.000, 0.000, 0.190) (multiplicity 4)
Pr (0.000, 0.500, 0.000) (multiplicity 4)
Nd (0.000, 0.000, 0.000) (multiplicity 2)
Mg (0.000, 0.000, 0.391) (multiplicity 4)

E = -3.310 eV/atom
V = 544 Å³ per cell



No. 8
Compound: Pr4Nd3Mg
Source: Alexandria
Functional: PBE
Structure: relaxed

a b c (Å): 11.742 7.318 6.394
angles (deg): 90.00 90.00 90.00
Space group Pmn2_1 (No. 31)
Symmetry-distinct sites (fractional):
Pr (0.000, 0.117, 0.000) (multiplicity 2)
Pr (0.000, 0.870, 0.531) (multiplicity 2)
Pr (0.239, 0.867, 0.184) (multiplicity 4)
Nd (0.000, 0.374, 0.532) (multiplicity 2)
Nd (0.242, 0.378, 0.189) (multiplicity 4)
Mg (0.000, 0.617, 0.020) (multiplicity 2)

V = 549 Å³ per cell
Distance to the lowest polymorph of the same formula = 0.023 eV per atom